1.
A crystal of BaZn2Hg2 relaxed with PBEsol. Source: the Alexandria database, functional meta-GGA SCAN.

Output
Fermi-level density of states: 3.21 states/eV/cell
E_form: -0.375 eV per atom
DFT total energy: -40.96 eV per atom

abc: 6.5739 6.5739 6.5739
angles: 138.87 138.87 59.58
With the nearest neighbours (Å) after each atom.
Fractional coordinates of all 5 atoms:
Ba 0.0000 0.0000 0.0000  8 Hg 3.58, 8 Zn 3.67
Zn 0.2500 0.7500 0.5000  4 Hg 2.69
Zn 0.7500 0.2500 0.5000  4 Hg 2.69
Hg 0.3705 0.3705 0.0000  4 Zn 2.69, 1 Hg 2.96
Hg 0.6295 0.6295 0.0000  4 Zn 2.69, 1 Hg 2.96

2.
A crystal of HgHRu2 relaxed with PBEsol. Source: the Alexandria database, functional meta-GGA SCAN.

Output
Fermi-level density of states: 4.51 states/eV/cell
DFT total energy: -34.04 eV per atom

abc: 4.2459 4.2459 4.2459
angles: 60.00 60.00 60.00
With the nearest neighbours (Å) after each atom.
Fractional coordinates of all 4 atoms:
Hg 0.0000 0.0000 0.0000  8 Ru 2.60
H 0.5000 0.5000 0.5000  8 Ru 2.60
Ru 0.2500 0.2500 0.2500  4 Hg 2.60, 4 H 2.60
Ru 0.7500 0.7500 0.7500  4 H 2.60, 4 Hg 2.60

3.
A crystal of NaHfCoI2 relaxed with PBEsol. Source: the Alexandria database, functional meta-GGA SCAN.

Output
Fermi-level density of states: 1.82 states/eV/cell
DFT total energy: -31.41 eV per atom
formation energy (no corrections): 0.12 eV/atom

abc: 5.7128 5.7128 4.5718
angles: 90.00 90.00 90.00
With the nearest neighbours (Å) after each atom.
Fractional coordinates of all 5 atoms:
Na 0.0000 0.0000 0.0000  8 I 3.66, 4 Co 4.04
Hf 0.5000 0.5000 0.5000  2 Co 2.29
Co 0.5000 0.5000 0.0000  2 Hf 2.29
I 0.0000 0.5000 0.5000  2 Hf 2.86
I 0.5000 0.0000 0.5000  2 Hf 2.86

4.
A crystal of La2Cu relaxed with PBEsol. Source: the Alexandria database, functional meta-GGA SCAN.

Output
Fermi-level density of states: 26.19 states/eV/cell
E_form: -0.052 eV per atom
DFT total energy: -33.86 eV per atom

abc: 9.6909 9.6909 9.6909
angles: 60.00 60.00 60.00
With the nearest neighbours (Å) after each atom.
Fractional coordinates of all 24 atoms:
La 0.0000 0.0000 0.0000  6 Cu 3.10
La 0.0000 0.0000 0.5000  6 Cu 3.10
La 0.0000 0.5000 0.0000  6 Cu 3.10
La 0.1832 0.1832 0.5668  2 Cu 3.00
La 0.1832 0.5668 0.1832  2 Cu 3.00
La 0.1832 0.5668 0.5668  2 Cu 3.00
La 0.4332 0.4332 0.8168  2 Cu 3.00
La 0.4332 0.8168 0.4332  2 Cu 3.00
La 0.4332 0.8168 0.8168  2 Cu 3.00
La 0.5000 0.0000 0.0000  6 Cu 3.10
La 0.5668 0.1832 0.1832  2 Cu 3.00
La 0.5668 0.1832 0.5668  2 Cu 3.00
La 0.5668 0.5668 0.1832  2 Cu 3.00
La 0.8168 0.4332 0.4332  2 Cu 3.00
La 0.8168 0.4332 0.8168  2 Cu 3.00
La 0.8168 0.8168 0.4332  2 Cu 3.00
Cu 0.1675 0.7775 0.7775  6 La 3.00-3.10
Cu 0.2225 0.2225 0.2225  6 La 3.00-3.10
Cu 0.2225 0.2225 0.8325  6 La 3.00-3.10
Cu 0.2225 0.8325 0.2225  6 La 3.00-3.10
Cu 0.7775 0.1675 0.7775  6 La 3.00-3.10
Cu 0.7775 0.7775 0.1675  6 La 3.00-3.10
Cu 0.7775 0.7775 0.7775  6 La 3.00-3.10
Cu 0.8325 0.2225 0.2225  6 La 3.00-3.10

5.
A crystal of Pr2Ga9Ru3 relaxed with PBEsol. Source: the Alexandria database, functional meta-GGA SCAN.

Output
Fermi-level density of states: 11.87 states/eV/cell
E_form: -0.613 eV per atom
DFT total energy: -24.77 eV per atom

abc: 7.4349 7.4349 9.7281
angles: 90.00 90.00 61.30
With the nearest neighbours (Å) after each atom.
Fractional coordinates of all 28 atoms:
Pr 0.0017 0.6753 0.7500  11 Ga 3.05-3.15
Pr 0.3247 0.9983 0.7500  11 Ga 3.05-3.15
Pr 0.6753 0.0017 0.2500  11 Ga 3.05-3.15
Pr 0.9983 0.3247 0.2500  11 Ga 3.05-3.15
Ga 0.0120 0.6612 0.0741  3 Ru 2.56-2.58, 3 Ga 2.72-2.77
Ga 0.0120 0.6612 0.4259  3 Ru 2.56-2.58, 3 Ga 2.72-2.77
Ga 0.1367 0.8633 0.2500  2 Ru 2.64, 6 Ga 2.71-2.72
Ga 0.3391 0.6609 0.5561  3 Ru 2.61-2.63, 5 Ga 2.67-2.83
Ga 0.3391 0.6609 0.9439  3 Ru 2.61-2.63, 5 Ga 2.67-2.83
Ga 0.3388 0.9880 0.0741  3 Ru 2.56-2.58, 3 Ga 2.72-2.77
Ga 0.3388 0.9880 0.4259  3 Ru 2.56-2.58, 3 Ga 2.72-2.77
Ga 0.3404 0.4483 0.2500  2 Ru 2.62, 6 Ga 2.70-2.83
Ga 0.4483 0.3404 0.7500  2 Ru 2.62, 6 Ga 2.70-2.83
Ga 0.5517 0.6596 0.2500  2 Ru 2.62, 6 Ga 2.70-2.83
Ga 0.6596 0.5517 0.7500  2 Ru 2.62, 6 Ga 2.70-2.83
Ga 0.6612 0.0120 0.5741  3 Ru 2.56-2.58, 3 Ga 2.72-2.77
Ga 0.6612 0.0120 0.9259  3 Ru 2.56-2.58, 3 Ga 2.72-2.77
Ga 0.6609 0.3391 0.0561  3 Ru 2.61-2.63, 5 Ga 2.67-2.83
Ga 0.6609 0.3391 0.4439  3 Ru 2.61-2.63, 5 Ga 2.67-2.83
Ga 0.8633 0.1367 0.7500  2 Ru 2.64, 6 Ga 2.71-2.72
Ga 0.9880 0.3388 0.5741  3 Ru 2.56-2.58, 3 Ga 2.72-2.77
Ga 0.9880 0.3388 0.9259  3 Ru 2.56-2.58, 3 Ga 2.72-2.77
Ru 0.0000 0.0000 0.0000  8 Ga 2.58-2.64
Ru 0.0000 0.0000 0.5000  8 Ga 2.58-2.64
Ru 0.3247 0.3247 0.0000  8 Ga 2.56-2.62
Ru 0.3247 0.3247 0.5000  8 Ga 2.56-2.62
Ru 0.6753 0.6753 0.0000  8 Ga 2.56-2.62
Ru 0.6753 0.6753 0.5000  8 Ga 2.56-2.62

6.
A crystal of RbFeTcAs2 relaxed with PBEsol. Source: the Alexandria database, functional meta-GGA SCAN.

Output
Fermi-level density of states: 3.21 states/eV/cell
E_form: 0.264 eV per atom
DFT total energy: -22.60 eV per atom

abc: 4.7669 4.7669 4.9969
angles: 90.00 90.00 90.00
With the nearest neighbours (Å) after each atom.
Fractional coordinates of all 5 atoms:
Rb 0.0000 0.0000 0.0000  4 Fe 3.37, 8 As 3.45
Fe 0.5000 0.5000 0.0000  2 Tc 2.50
Tc 0.5000 0.5000 0.5000  4 As 2.38, 2 Fe 2.50
As 0.0000 0.5000 0.5000  2 Tc 2.38
As 0.5000 0.0000 0.5000  2 Tc 2.38

7.
A crystal of Ta2Be2Pd relaxed with PBEsol. Source: the Alexandria database, functional meta-GGA SCAN.

Output
Fermi-level density of states: 5.00 states/eV/cell
E_form: -0.342 eV per atom
DFT total energy: -35.27 eV per atom

abc: 5.9806 5.9806 3.6302
angles: 90.00 90.00 90.00
With the nearest neighbours (Å) after each atom.
Fractional coordinates of all 10 atoms:
Ta 0.1703 0.3297 0.0000  6 Be 2.50-2.55
Ta 0.3297 0.8297 0.0000  6 Be 2.50-2.55
Ta 0.6703 0.1703 0.0000  6 Be 2.50-2.55
Ta 0.8297 0.6703 0.0000  6 Be 2.50-2.55
Be 0.1269 0.6269 0.5000  1 Be 2.15, 2 Pd 2.36
Be 0.3731 0.1269 0.5000  1 Be 2.15, 2 Pd 2.36
Be 0.6269 0.8731 0.5000  1 Be 2.15, 2 Pd 2.36
Be 0.8731 0.3731 0.5000  1 Be 2.15, 2 Pd 2.36
Pd 0.0000 0.0000 0.5000  4 Be 2.36
Pd 0.5000 0.5000 0.5000  4 Be 2.36

8.
A crystal of Sb2TeOs relaxed with PBEsol. Source: the Alexandria database, functional meta-GGA SCAN.

Output
Fermi-level density of states: 2.07 states/eV/cell
DFT total energy: -45.69 eV per atom
formation energy (no corrections): 0.23 eV/atom

abc: 4.9576 4.9576 6.0346
angles: 109.05 109.05 44.39
With the nearest neighbours (Å) after each atom.
Fractional coordinates of all 4 atoms:
Sb 0.0000 0.0000 0.0000  3 Os 2.67-2.69, 1 Sb 2.92
Sb 0.1540 0.1540 0.6516  2 Os 2.72, 1 Sb 2.92, 1 Te 3.04
Te 0.3504 0.3504 0.3376  2 Os 2.74, 1 Sb 3.04
Os 0.7094 0.7094 0.9990  5 Sb 2.67-2.72, 2 Te 2.74

9.
A crystal of BAsSe2O relaxed with PBEsol. Source: the Alexandria database, functional meta-GGA SCAN.

Output
Fermi-level density of states: 3.31 states/eV/cell
DFT total energy: -13.53 eV per atom
formation energy (no corrections): 1.27 eV/atom

abc: 4.4451 4.4451 4.2201
angles: 90.00 90.00 90.00
With the nearest neighbours (Å) after each atom.
Fractional coordinates of all 5 atoms:
B 0.0000 0.0000 0.0000  8 Se 3.06, 4 As 3.14
As 0.5000 0.5000 0.0000  2 O 2.11
Se 0.0000 0.5000 0.5000  2 O 2.22
Se 0.5000 0.0000 0.5000  2 O 2.22
O 0.5000 0.5000 0.5000  2 As 2.11, 4 Se 2.22

10.
A crystal of Y3Ag4 relaxed with PBEsol. Source: the Alexandria database, functional meta-GGA SCAN.

Output
Fermi-level density of states: 3.57 states/eV/cell
E_form: -0.322 eV per atom
DFT total energy: -30.18 eV per atom

abc: 11.8351 11.8351 11.8351
angles: 162.23 162.23 25.24
With the nearest neighbours (Å) after each atom.
Fractional coordinates of all 7 atoms:
Y 0.0000 0.0000 0.0000  10 Ag 3.02-3.03
Y 0.3011 0.3011 0.0000  5 Ag 3.02-3.03
Y 0.6989 0.6989 0.0000  5 Ag 3.02-3.03
Ag 0.1306 0.1306 0.0000  4 Ag 2.96, 5 Y 3.02-3.03
Ag 0.4318 0.4318 0.0000  5 Ag 2.96-3.15, 5 Y 3.02-3.03
Ag 0.5682 0.5682 0.0000  5 Ag 2.96-3.15, 5 Y 3.02-3.03
Ag 0.8694 0.8694 0.0000  4 Ag 2.96, 5 Y 3.02-3.03